[1]
A plane-wave DFT calculation with PBE was carried out for a geometry-optimized LuTlW2 structure.

abc: 6.756 6.756 6.756
angles: 90.00 90.00 90.00
Space group F-43m (No. 216)
Asymmetric unit:
Lu 0.000 0.000 0.000 [4 per cell]
Tl 0.250 0.250 0.750 [4 per cell]
W 0.000 0.000 0.500 [4 per cell]
W 0.250 0.250 0.250 [4 per cell]

Output
Total DFT energy (no corrections) = -7.671 eV per atom



[2]
A plane-wave DFT calculation with PBE was carried out for a geometry-optimized LuTlW structure.

abc: 6.669 6.669 6.669
angles: 90.00 90.00 90.00
Space group F-43m (No. 216)
Asymmetric unit:
Lu 0.000 0.000 0.000 [4 per cell]
Tl 0.250 0.250 0.250 [4 per cell]
W 0.000 0.000 0.500 [4 per cell]

Output
Total DFT energy (no corrections) = -5.531 eV per atom



[3]
A plane-wave DFT calculation with PBE was carried out for a geometry-optimized Lu2TlW structure.

abc: 7.056 7.056 7.056
angles: 90.00 90.00 90.00
Space group F-43m (No. 216)
Asymmetric unit:
Lu 0.000 0.000 0.000 [4 per cell]
Lu 0.250 0.250 0.250 [4 per cell]
Tl 0.000 0.000 0.500 [4 per cell]
W 0.250 0.250 0.750 [4 per cell]

Output
Total DFT energy (no corrections) = -5.597 eV per atom



[4]
A plane-wave DFT calculation with PBE was carried out for a geometry-optimized YLuTl structure.

abc: 7.229 7.229 7.229
angles: 90.00 90.00 90.00
Space group F-43m (No. 216)
Asymmetric unit:
Y 0.000 0.000 0.000 [4 per cell]
Lu 0.000 0.000 0.500 [4 per cell]
Tl 0.250 0.250 0.750 [4 per cell]

Output
Total DFT energy (no corrections) = -4.491 eV per atom



[5]
A plane-wave DFT calculation with PBE was carried out for a geometry-optimized Y2LuTl structure.

abc: 7.659 7.659 7.659
angles: 90.00 90.00 90.00
Space group F-43m (No. 216)
Asymmetric unit:
Y 0.000 0.000 0.000 [4 per cell]
Y 0.250 0.250 0.250 [4 per cell]
Lu 0.250 0.250 0.750 [4 per cell]
Tl 0.000 0.000 0.500 [4 per cell]

Output
Total DFT energy (no corrections) = -4.919 eV per atom



[6]
A plane-wave DFT calculation with PBE was carried out for a geometry-optimized LuTlZn2 structure.

abc: 6.934 6.934 6.934
angles: 90.00 90.00 90.00
Space group F-43m (No. 216)
Asymmetric unit:
Lu 0.000 0.000 0.000 [4 per cell]
Tl 0.250 0.250 0.750 [4 per cell]
Zn 0.000 0.000 0.500 [4 per cell]
Zn 0.250 0.250 0.250 [4 per cell]

Output
Total DFT energy (no corrections) = -2.425 eV per atom



What is the total DFT energy (no corrections) in the fourth record? -4.491 eV per atom